# 1
Material: PaFeCoAu
Method: DFT, PBE
State: relaxed

Calculated values
Total DFT energy (no corrections): -28.5 eV/f.u.
Formation energy from the elements: -0.2 eV per formula unit

```
data_PaFeCoAu
_chemical_formula_sum 'Pa4 Fe4 Co4 Au4'
_space_group_name_H-M_alt 'F -4 3 m'
_space_group_IT_number 216
_space_group_name_Hall 'F -4 2 3'
_cell_length_a 6.354
_cell_length_b 6.354
_cell_length_c 6.354
_cell_angle_alpha 90.00
_cell_angle_beta 90.00
_cell_angle_gamma 90.00
loop_
_atom_site_label
_atom_site_type_symbol
_atom_site_fract_x
_atom_site_fract_y
_atom_site_fract_z
Pa1 Pa 0.000 0.000 0.000
Fe1 Fe 0.250 0.250 0.250
Co1 Co 0.250 0.250 0.750
Au1 Au 0.000 0.000 0.500
```

=====

# 2
Material: Tb5Nd2DyHo
Method: DFT, PBE
State: relaxed

Calculated values
Total DFT energy (no corrections): -39.4 eV/f.u.
Formation energy from the elements: 2.5 eV per formula unit

```
data_Tb5Nd2DyHo
_chemical_formula_sum 'Tb20 Nd8 Dy4 Ho4'
_space_group_name_H-M_alt 'I 4/m c m'
_space_group_IT_number 140
_space_group_name_Hall '-I 4 2c'
_cell_length_a 8.611
_cell_length_b 8.611
_cell_length_c 15.902
_cell_angle_alpha 90.00
_cell_angle_beta 90.00
_cell_angle_gamma 90.00
loop_
_atom_site_label
_atom_site_type_symbol
_atom_site_fract_x
_atom_site_fract_y
_atom_site_fract_z
Tb1 Tb 0.000 0.000 0.000
Tb2 Tb 0.213 0.287 0.141
Nd1 Nd 0.119 0.381 0.500
Dy1 Dy 0.000 0.000 0.250
Ho1 Ho 0.000 0.500 0.250
```